First-principles (PBE-GGA) data for a relaxed LaOs4Ru crystal, as listed in the Alexandria database.

The structure belongs to space group F-43m (No. 216); the cell edges are 7.489, 7.489 and 7.489 Å and the angles 90.00°, 90.00° and 90.00°. The inequivalent atoms are La at (0.000, 0.000, 0.000), Os at (0.124, 0.124, 0.624) and Ru at (0.250, 0.250, 0.250).

Its formation energy is 508.2 meV per atom. Its calculated density is 15.8 g/cm³.

=====

First-principles (PBE-GGA) data for a relaxed BIr crystal, as listed in the Alexandria database.

The structure belongs to space group Pmmn (No. 59, origin choice 2); the cell edges are 3.940, 9.535 and 4.242 Å and the angles 90.00°, 90.00° and 90.00°. The inequivalent atoms are B at (0.250, 0.090, 0.219), B at (0.250, 0.750, 0.288), Ir at (0.250, 0.250, 0.530) and Ir at (0.250, 0.595, 0.955).

Its formation energy is 123.8 meV per atom. Its calculated density is 12.7 g/cm³.

=====

First-principles (PBE-GGA) data for a relaxed HfNbTeN2 crystal, as listed in the Alexandria database.

The structure belongs to space group P4/mmm (No. 123); the cell edges are 4.126, 4.126 and 5.669 Å and the angles 90.00°, 90.00° and 90.00°. The inequivalent atoms are Hf at (0.000, 0.000, 0.000), Nb at (0.500, 0.500, 0.500), Te at (0.000, 0.000, 0.500) and N at (0.000, 0.500, 0.000).

Its calculated density is 7.3 g/cm³. The uncorrected formation energy is 610 meV/atom.

=====

First-principles (PBE-GGA) data for a relaxed Ce2PuW2C4 crystal, as listed in the Alexandria database.

The structure belongs to space group C2/m (No. 12); the cell edges are 14.157, 3.425 and 5.931 Å and the angles 90.00°, 108.50° and 90.00°. The inequivalent atoms are Ce at (0.127, 0.000, 0.011), Pu at (0.000, 0.000, 0.500), W at (0.177, 0.500, 0.509), C at (0.040, 0.500, 0.251) and C at (0.233, 0.000, 0.726).

Its formation energy is 3.2 meV per atom. Its calculated density is 11.4 g/cm³.

=====

First-principles (PBE-GGA) data for a relaxed CeTi2Cl8 crystal, as listed in the Alexandria database.

The structure belongs to space group C2/m (No. 12); the cell edges are 13.025, 9.319 and 6.560 Å and the angles 90.00°, 93.79° and 90.00°. The inequivalent atoms are Ce at (0.000, 0.000, 0.000), Ti at (0.196, 0.000, 0.647), Cl at (0.104, 0.197, 0.767), Cl at (0.138, 0.500, 0.242) and Cl at (0.171, 0.000, 0.288).

Its calculated density is 2.2 g/cm³. The uncorrected formation energy is -1644 meV/atom.

=====

First-principles (PBE-GGA) data for a relaxed NaLiSb3 crystal, as listed in the Alexandria database.

The structure belongs to space group Pm-3m (No. 221); the cell edges are 5.144, 5.144 and 5.144 Å and the angles 90.00°, 90.00° and 90.00°. The inequivalent atoms are Na at (0.000, 0.000, 0.000), Li at (0.500, 0.500, 0.500) and Sb at (0.000, 0.500, 0.500).

Its calculated density is 4.8 g/cm³. The uncorrected formation energy is 69 meV/atom.

=====

First-principles (PBE-GGA) data for a relaxed BaZn2GaNi crystal, as listed in the Alexandria database.

The structure belongs to space group P4/mmm (No. 123); the cell edges are 4.816, 4.816 and 4.684 Å and the angles 90.00°, 90.00° and 90.00°. The inequivalent atoms are Ba at (0.000, 0.000, 0.000), Zn at (0.000, 0.500, 0.500), Ga at (0.500, 0.500, 0.000) and Ni at (0.500, 0.500, 0.500).

Its formation energy is -267.3 meV per atom. Its calculated density is 6.1 g/cm³.

=====

First-principles (PBE-GGA) data for a relaxed Ca3LaSb crystal, as listed in the Alexandria database.

The structure belongs to space group Pm-3m (No. 221); the cell edges are 5.957, 5.957 and 5.957 Å and the angles 90.00°, 90.00° and 90.00°. The inequivalent atoms are Ca at (0.000, 0.000, 0.500), La at (0.500, 0.500, 0.500) and Sb at (0.000, 0.000, 0.000).

Its calculated density is 3.0 g/cm³. The uncorrected formation energy is -101 meV/atom.

=====

First-principles (PBE-GGA) data for a relaxed ZrAuNF2 crystal, as listed in the Alexandria database.

The structure belongs to space group P4/mmm (No. 123); the cell edges are 4.441, 4.441 and 3.976 Å and the angles 90.00°, 90.00° and 90.00°. The inequivalent atoms are Zr at (0.000, 0.000, 0.000), Au at (0.500, 0.500, 0.500), N at (0.500, 0.500, 0.000) and F at (0.000, 0.500, 0.500).

Its calculated density is 7.2 g/cm³. The uncorrected formation energy is 53 meV/atom.

=====

First-principles (PBE-GGA) data for a relaxed PrHo6Er8 crystal, as listed in the Alexandria database.

The structure belongs to space group P-3 (No. 147); the cell edges are 9.3804, 9.3804 and 6.4189 Å and the angles 90.00°, 90.00° and 120.00°. The inequivalent atoms are Pr at (0.0000, 0.0000, 0.0000), Ho at (0.1002, 0.6815, 0.9117), Er at (0.0247, 0.3386, 0.5920) and Er at (0.3333, 0.6667, 0.3382).

Its formation energy is 228.8 meV per atom. Its calculated density is 8.4 g/cm³.

=====

First-principles (PBE-GGA) data for a relaxed ReH2O4 crystal, as listed in the Alexandria database.

The structure belongs to space group C2/m (No. 12); the cell edges are 11.817, 2.577 and 5.556 Å and the angles 90.00°, 109.23° and 90.00°. The inequivalent atoms are Re at (0.000, 0.000, 0.000), H at (0.128, 0.500, 0.775), O at (0.100, 0.500, 0.236) and O at (0.111, 0.000, 0.807).

Its calculated density is 5.2 g/cm³. Its final energy is -90.42 eV for the cell shown.

=====

First-principles (PBE-GGA) data for a relaxed KRbNa2Cl crystal, as listed in the Alexandria database.

The structure belongs to space group P4/mmm (No. 123); the cell edges are 6.029, 6.029 and 6.572 Å and the angles 90.00°, 90.00° and 90.00°. The inequivalent atoms are K at (0.000, 0.000, 0.000), Rb at (0.500, 0.500, 0.000), Na at (0.000, 0.500, 0.500) and Cl at (0.500, 0.500, 0.500).

Its calculated density is 1.4 g/cm³. The uncorrected formation energy is -569 meV/atom.

=====

First-principles (PBE-GGA) data for a relaxed KSmGe crystal, as listed in the Alexandria database.

The structure belongs to space group C2/m (No. 12); the cell edges are 12.650, 4.603 and 9.147 Å and the angles 90.00°, 121.26° and 90.00°. The inequivalent atoms are K at (0.081, 0.000, 0.389), Sm at (0.175, 0.500, 0.072) and Ge at (0.177, 0.500, 0.751).

Its formation energy is -96.4 meV per atom. Its calculated density is 3.8 g/cm³.

=====

First-principles (PBE-GGA) data for a relaxed Er2USb3 crystal, as listed in the Alexandria database.

The structure belongs to space group Fmmm (No. 69); the cell edges are 6.170, 6.182 and 18.437 Å and the angles 90.00°, 90.00° and 90.00°. The inequivalent atoms are Er at (0.000, 0.000, 0.167), U at (0.000, 0.000, 0.500), Sb at (0.000, 0.000, 0.000) and Sb at (0.000, 0.000, 0.333).

Its calculated density is 8.9 g/cm³. The uncorrected formation energy is -781 meV/atom.

=====

First-principles (PBE-GGA) data for a relaxed PmTePt crystal, as listed in the Alexandria database.

The structure belongs to space group C2/m (No. 12); the cell edges are 10.645, 4.631 and 7.918 Å and the angles 90.00°, 121.92° and 90.00°. The inequivalent atoms are Pm at (0.229, 0.000, 0.181), Te at (0.084, 0.500, 0.323) and Pt at (0.060, 0.000, 0.765).

Its calculated density is 9.4 g/cm³. The uncorrected formation energy is -953 meV/atom.

=====

First-principles (PBE-GGA) data for a relaxed CaLaIr2Ru crystal, as listed in the Alexandria database.

The structure belongs to space group P4/mmm (No. 123); the cell edges are 4.732, 4.732 and 5.168 Å and the angles 90.00°, 90.00° and 90.00°. The inequivalent atoms are Ca at (0.000, 0.000, 0.000), La at (0.000, 0.000, 0.500), Ir at (0.000, 0.500, 0.000) and Ru at (0.500, 0.500, 0.500).

Its formation energy is 1840.3 meV per atom. Its calculated density is 9.5 g/cm³.

=====

First-principles (PBE-GGA) data for a relaxed Ca2US4 crystal, as listed in the Alexandria database.

The structure belongs to space group Pbam (No. 55); the cell edges are 7.046, 11.957 and 4.072 Å and the angles 90.00°, 90.00° and 90.00°. The inequivalent atoms are Ca at (0.086, 0.183, 0.000), U at (0.000, 0.500, 0.500), S at (0.133, 0.709, 0.500) and S at (0.246, 0.457, 0.000).

Its calculated density is 4.3 g/cm³. The uncorrected formation energy is -1788 meV/atom.

=====

First-principles (PBE-GGA) data for a relaxed Sr2TaZn crystal, as listed in the Alexandria database.

The structure belongs to space group I4/mmm (No. 139); the cell edges are 4.854, 4.854 and 9.614 Å and the angles 90.00°, 90.00° and 90.00°. The inequivalent atoms are Sr at (0.000, 0.500, 0.250), Ta at (0.000, 0.000, 0.000) and Zn at (0.000, 0.000, 0.500).

Its formation energy is 834.5 meV per atom. Its calculated density is 6.2 g/cm³.

=====

First-principles (PBE-GGA) data for a relaxed TbSc2Zn crystal, as listed in the Alexandria database.

The structure belongs to space group R3m (No. 160, hexagonal axes); the cell edges are 3.3964, 3.3964 and 29.3087 Å and the angles 90.00°, 90.00° and 120.00°. The inequivalent atoms are Tb at (0.0000, 0.0000, 0.0000), Sc at (0.0000, 0.0000, 0.2387), Sc at (0.0000, 0.0000, 0.4295) and Zn at (0.0000, 0.0000, 0.8345).

Its formation energy is -36.8 meV per atom. Its calculated density is 5.3 g/cm³.

=====

First-principles (PBE-GGA) data for a relaxed Mg3HIr5 crystal, as listed in the Alexandria database.

The structure belongs to space group Cm (No. 8); the cell edges are 8.909, 5.679 and 4.918 Å and the angles 90.00°, 90.25° and 90.00°. The inequivalent atoms are Mg at (0.000, 0.000, 0.000), Mg at (0.496, 0.238, 0.487), H at (0.175, 0.000, 0.644), Ir at (0.248, 0.000, 0.309), Ir at (0.248, 0.500, 0.317), Ir at (0.251, 0.260, 0.839) and Ir at (0.499, 0.000, 0.981).

Its calculated density is 13.8 g/cm³. Its final energy is -108.43 eV for the cell shown.